[1]
An optimized crystal structure of PWBr2, computed with PBE.

Geometry as extended XYZ:
```
4
Lattice="1.8125 0.0000 10.9392 -0.9062 1.5696 10.9392 -0.9062 -1.5696 10.9392" Properties=species:S:1:pos:R:3 pbc="T T T"
W 0.0000 0.0000 16.4088
Br 0.0000 0.0000 29.2538
Br 0.0000 0.0000 3.5637
P 0.0000 0.0000 0.0000
```

DOS at the Fermi energy: 2.62 states/eV per cell
E_form (uncorrected): 286 kJ/mol of formula units
Raw total energy: -18.7 eV/f.u.

[2]
An optimized crystal structure of P2WBr, computed with PBE.

Geometry as extended XYZ:
```
4
Lattice="-7.4272 -1.5915 2.6480 -5.4904 -5.7230 1.3458 7.2658 3.4449 0.2241" Properties=species:S:1:pos:R:3 pbc="T T T"
P -12.4756 -7.0642 3.8571
W -6.6244 -3.7510 2.0481
Br -2.0112 -0.1664 2.0329
P -3.9173 -3.8598 2.2705
```

DOS at the Fermi energy: 2.46 states/eV per cell
E_form (uncorrected): 49 kJ/mol of formula units
Raw total energy: -24.9 eV/f.u.

[3]
An optimized crystal structure of PWBr, computed with PBE.

Geometry as extended XYZ:
```
3
Lattice="-4.0860 -0.0191 1.5998 -1.2931 -3.2278 2.6765 -0.6945 0.8229 4.2539" Properties=species:S:1:pos:R:3 pbc="T T T"
W -4.5552 -1.8181 6.3976
P -3.0368 -1.2121 4.2651
Br 0.0000 0.0000 0.0000
```

DOS at the Fermi energy: 1.12 states/eV per cell
E_form (uncorrected): 184 kJ/mol of formula units
Raw total energy: -18.1 eV/f.u.

[4]
An optimized crystal structure of PWBr2, computed with PBE.

Geometry as extended XYZ:
```
4
Lattice="6.9504 0.0653 -0.0017 4.1736 5.5581 0.0017 -4.9788 -3.9654 2.7927" Properties=species:S:1:pos:R:3 pbc="T T T"
W 2.4638 2.2454 1.3972
P 4.2960 2.1717 0.0000
Br 0.9644 0.4875 0.0000
Br 3.9830 -0.4349 1.3955
```

DOS at the Fermi energy: 2.05 states/eV per cell
E_form (uncorrected): 159 kJ/mol of formula units
Raw total energy: -20.1 eV/f.u.

[5]
An optimized crystal structure of P2WBr, computed with PBE.

Geometry as extended XYZ:
```
4
Lattice="-2.4152 2.9011 -2.3718 -4.4428 0.0285 0.3691 -2.0452 3.3935 2.0436" Properties=species:S:1:pos:R:3 pbc="T T T"
P -2.2258 1.5808 0.0102
P 0.0000 0.0000 0.0000
W -6.6775 4.7424 0.0307
Br -4.4516 3.1616 0.0205
```

DOS at the Fermi energy: 2.19 states/eV per cell
E_form (uncorrected): 334 kJ/mol of formula units
Raw total energy: -22.0 eV/f.u.

[6]
An optimized crystal structure of P2WBr, computed with PBE.

Geometry as extended XYZ:
```
4
Lattice="4.5453 0.0007 -0.0221 3.3343 3.0890 -0.0221 1.8006 0.7061 7.1322" Properties=species:S:1:pos:R:3 pbc="T T T"
W 5.3528 2.0990 4.3998
P 9.2139 3.6130 6.2046
P 7.6878 3.0146 4.6953
Br 1.9458 0.7630 2.4206
```

DOS at the Fermi energy: 2.40 states/eV per cell
E_form (uncorrected): -7 kJ/mol of formula units
Raw total energy: -25.5 eV/f.u.

[7]
An optimized crystal structure of PWBr2, computed with PBE.

Geometry as extended XYZ:
```
4
Lattice="-1.5277 2.5145 -1.3591 -1.4003 0.6864 2.8440 7.1008 5.4882 2.1717" Properties=species:S:1:pos:R:3 pbc="T T T"
P 4.8398 3.7406 1.4802
W 2.6153 4.7533 1.9901
Br 6.5983 5.0997 2.0180
Br 0.7707 3.3276 1.4259
```

DOS at the Fermi energy: 3.87 states/eV per cell
E_form (uncorrected): 28 kJ/mol of formula units
Raw total energy: -21.4 eV/f.u.

[8]
An optimized crystal structure of PWBr, computed with PBE.

Geometry as extended XYZ:
```
3
Lattice="-4.4718 3.5960 -4.5987 -6.4328 -0.4580 -3.5350 4.3912 -0.5824 5.8706" Properties=species:S:1:pos:R:3 pbc="T T T"
P 1.7713 0.1714 3.9164
Br -10.5341 3.0316 -7.8572
W -4.2639 1.9083 -0.5853
```

DOS at the Fermi energy: 0.94 states/eV per cell
E_form (uncorrected): 36 kJ/mol of formula units
Raw total energy: -19.7 eV/f.u.

- E_form (uncorrected) of number 6 (P2WBr)?
  -7 kJ/mol of formula units